# 1
Material: ZnHCl2
Method: DFT, PBE
State: optimized geometry

SG   Fm-3m (225)
Volume   15.937 A^3/atom
Distance to the lowest polymorph of the same formula   1.630 eV/f.u.

Geometry as POSCAR:
```
ZnHCl2
1.0
0.000 3.171 3.171
3.171 0.000 3.171
3.171 3.171 0.000
H Cl Zn
1 2 1
direct
0.000 0.000 0.000
0.750 0.750 0.750
0.250 0.250 0.250
0.500 0.500 0.500
```

# 2
Material: TiTcS3
Method: DFT, PBE
State: optimized geometry

Uncorrected formation energy   -681.2 meV per atom
SG   R32 (155)
Volume   17.124 A^3/atom
Distance to the lowest polymorph of the same formula   0.000 eV/f.u.

Geometry as POSCAR:
```
TiTcS3
1.0
5.697 0.000 0.000
2.848 4.933 0.000
2.848 1.644 6.093
S Ti Tc
6 2 2
direct
0.420 0.077 0.754
0.580 0.251 0.246
0.251 0.923 0.246
0.923 0.580 0.246
0.077 0.749 0.754
0.749 0.420 0.754
0.833 0.833 0.502
0.167 0.167 0.498
0.668 0.668 0.997
0.332 0.332 0.003
```

# 3
Material: Pm4IrPb2
Method: DFT, PBE
State: optimized geometry

SG   C2/m (12)
Volume   30.100 A^3/atom
ΔH_f (0 K)   -0.569 eV/atom
Distance to the lowest polymorph of the same formula   0.000 eV/f.u.

Geometry as POSCAR:
```
Pm4IrPb2
1.0
4.667 0.000 0.000
0.000 8.860 -1.267
-2.333 -5.111 5.826
Ir Pm Pb
1 4 2
direct
0.000 0.000 0.000
0.931 0.210 0.861
0.069 0.790 0.139
0.332 0.724 0.665
0.668 0.276 0.335
0.350 0.361 0.700
0.650 0.639 0.300
```

# 4
Material: Te2IrW
Method: DFT, PBE
State: optimized geometry

Uncorrected formation energy   623.5 meV per atom
SG   P4/mmm (123)
Volume   18.839 A^3/atom
Distance to the lowest polymorph of the same formula   1.932 eV/f.u.

Geometry as POSCAR:
```
Te2IrW
1.0
-0.565 3.319 -0.437
-0.166 -0.470 -3.358
-6.440 -1.036 0.464
Ir Te W
1 2 1
direct
0.500 0.500 0.750
0.000 0.000 0.002
0.000 0.000 0.498
0.500 0.500 0.250
```

# 5
Material: ZrAs2Br
Method: DFT, PBE
State: optimized geometry

Uncorrected formation energy   -158.9 meV per atom
SG   R-3m (166)
Volume   23.817 A^3/atom
Distance to the lowest polymorph of the same formula   1.851 eV/f.u.

Geometry as POSCAR:
```
ZrAs2Br
1.0
8.325 -0.046 -0.027
7.524 3.564 -0.027
7.524 1.670 3.148
As Zr Br
2 1 1
direct
0.014 0.014 0.014
0.486 0.486 0.486
0.750 0.750 0.750
0.250 0.250 0.250
```

# 6
Material: Zr2SeCl
Method: DFT, PBE
State: optimized geometry

Uncorrected formation energy   -833.5 meV per atom
SG   C2/m (12)
Volume   20.070 A^3/atom
Distance to the lowest polymorph of the same formula   0.580 eV/f.u.

Geometry as POSCAR:
```
Zr2SeCl
1.0
4.553 0.003 0.011
3.296 3.141 0.011
1.260 0.505 5.621
Zr Cl Se
2 1 1
direct
0.998 0.998 0.017
0.502 0.502 0.483
0.750 0.750 0.750
0.250 0.250 0.250
```

Number 1: final energy -1.95 eV/atom. Number 2: final energy -6.81 eV/atom. Number 3: final energy -5.61 eV/atom. Number 4: final energy -6.40 eV/atom. Number 5: final energy -5.04 eV/atom. Number 6: final energy -6.44 eV/atom.